# 1
## Tb7Dy4Tl (GGA-PBE)

Data for a geometry-optimized Tb7Dy4Tl structure.

Calculated values
* formation energy from the elements: -26 meV per atom
* Fermi-level density of states: 14.10 states/eV per cell

a = 3.5593 Å, b = 3.5593 Å, c = 34.2202 Å
α = 90.00°, β = 90.00°, γ = 120.00°
Space group P-3m1 (No. 164)
Asymmetric unit:
Tb 0.0000 0.0000 0.0000 x1
Tb 0.0000 0.0000 0.2536 x2
Tb 0.3333 0.6667 0.1688 x2
Tb 0.3333 0.6667 0.4221 x2
Dy 0.3333 0.6667 0.6618 x2
Dy 0.3333 0.6667 0.9156 x2
Tl 0.0000 0.0000 0.5000 x1


# 2
## Tb2Dy5Tl5 (GGA-PBE)

Data for a geometry-optimized Tb2Dy5Tl5 structure.

Calculated values
* formation energy from the elements: -211 meV per atom
* Fermi-level density of states: 21.23 states/eV per cell

a = 12.0843 Å, b = 5.0525 Å, c = 12.2347 Å
α = 90.00°, β = 109.73°, γ = 90.00°
Space group C2/m (No. 12)
Asymmetric unit:
Tb 0.0684 0.0000 0.2653 x4
Dy 0.0000 0.5000 0.0000 x2
Dy 0.1495 0.5000 0.7883 x4
Dy 0.1516 0.5000 0.5062 x4
Tl 0.0000 0.0000 0.5000 x2
Tl 0.1535 0.0000 0.9685 x4
Tl 0.2328 0.5000 0.2830 x4


# 3
## Tb6Dy8Tl (GGA-PBE)

Data for a geometry-optimized Tb6Dy8Tl structure.

Calculated values
* formation energy from the elements: 202 meV per atom
* Fermi-level density of states: 19.51 states/eV per cell

a = 9.1790 Å, b = 9.1790 Å, c = 6.7158 Å
α = 90.00°, β = 90.00°, γ = 120.00°
Space group P-3 (No. 147)
Asymmetric unit:
Tb 0.0791 0.3978 0.3947 x6
Dy 0.0143 0.6885 0.1130 x6
Dy 0.3333 0.6667 0.8211 x2
Tl 0.0000 0.0000 0.5000 x1